# 1
Compound: NaGaBi2
Source: Alexandria
Functional: meta-GGA SCAN
Structure: single point on PBEsol structure

```
8
Lattice="-4.181 4.181 3.235 4.181 -4.181 3.235 4.181 4.181 -3.235" Properties=species:S:1:pos:R:3 pbc="T T T"
Na 0.000 0.000 0.000
Na 0.000 4.181 1.618
Ga 4.181 0.000 1.618
Ga 0.000 0.000 3.235
Bi 2.090 -1.681 2.426
Bi 2.500 2.090 0.809
Bi 2.090 5.862 -0.809
Bi 1.681 2.090 4.044
```

Output
Uncorrected energy: -44.55 eV/atom
N(E_F): 1.1 states/eV/cell
Calculated formation energy: -123 meV per atom
Space group: No. 122

# 2
Compound: NaGaBiO2
Source: Alexandria
Functional: meta-GGA SCAN
Structure: single point on PBEsol structure

```
5
Lattice="4.194 0.000 0.000 0.000 4.194 0.000 0.000 0.000 5.309" Properties=species:S:1:pos:R:3 pbc="T T T"
Na 0.000 0.000 0.000
Ga 2.097 2.097 2.655
Bi 0.000 0.000 2.655
O 0.000 2.097 0.000
O 2.097 0.000 0.000
```

Output
Uncorrected energy: -21.94 eV/atom
N(E_F): 2.8 states/eV/cell
Space group: No. 123
Formation energy (no corrections): 0.38 eV per atom

# 3
Compound: NaGaBiS2
Source: Alexandria
Functional: meta-GGA SCAN
Structure: single point on PBEsol structure

```
5
Lattice="4.781 0.000 0.000 0.000 4.781 0.000 0.000 0.000 5.050" Properties=species:S:1:pos:R:3 pbc="T T T"
Na 0.000 0.000 0.000
Ga 0.000 0.000 2.525
Bi 2.390 2.390 0.000
S 0.000 2.390 2.525
S 2.390 0.000 2.525
```

Output
Uncorrected energy: -23.43 eV/atom
N(E_F): 3.3 states/eV/cell
Space group: No. 123
Formation energy (no corrections): 0.25 eV per atom

# 4
Compound: Ga2Ni2Bi
Source: Alexandria
Functional: meta-GGA SCAN
Structure: single point on PBEsol structure

```
5
Lattice="-2.043 2.043 4.924 2.043 -2.043 4.924 2.043 2.043 -4.924" Properties=species:S:1:pos:R:3 pbc="T T T"
Ga 0.000 0.000 1.279
Ga 0.000 0.000 8.568
Ni 2.043 0.000 2.462
Ni 0.000 2.043 2.462
Bi 0.000 0.000 4.924
```

Output
Uncorrected energy: -28.68 eV/atom
N(E_F): 2.1 states/eV/cell
Calculated formation energy: 48 meV per atom
Space group: No. 139

> What is the N(E_F) in the first record?

1.1 states/eV/cell

> What is the formula in the second record?

NaGaBiO2

> What is the N(E_F) in the fourth record?

2.1 states/eV/cell

Repeat the fourth record exactly.
Compound: Ga2Ni2Bi
Source: Alexandria
Functional: meta-GGA SCAN
Structure: single point on PBEsol structure

```
5
Lattice="-2.043 2.043 4.924 2.043 -2.043 4.924 2.043 2.043 -4.924" Properties=species:S:1:pos:R:3 pbc="T T T"
Ga 0.000 0.000 1.279
Ga 0.000 0.000 8.568
Ni 2.043 0.000 2.462
Ni 0.000 2.043 2.462
Bi 0.000 0.000 4.924
```

Output
Uncorrected energy: -28.68 eV/atom
N(E_F): 2.1 states/eV/cell
Calculated formation energy: 48 meV per atom
Space group: No. 139